Compound: HfCu2Ni2
Source: Alexandria
Functional: PBE
Structure: optimized geometry

Summary:
Its theoretical density is 10.143 g cm⁻³. For the volume, the calculation gives 69 Å³/f.u. The formation energy from the elements is -0.76 eV/f.u.

Cell and atoms, written as POSCAR:
```
HfCu2Ni2
1.0
-1.4459 3.1416 -0.1807
-1.6040 -0.9068 -2.9322
-6.0386 -0.7841 1.5006
Ni Hf Cu
2 1 2
Direct
0.3990 0.3990 0.2021
0.6010 0.6010 0.7979
0.0000 0.0000 0.0000
0.7500 0.2500 0.5000
0.2500 0.7500 0.5000
```

Compound: CdHgP2
Source: Alexandria
Functional: PBE
Structure: optimized geometry

Summary:
Its theoretical density is 6.070 g cm⁻³. For the volume, the calculation gives 103 Å³/f.u. The formation energy from the elements is 1.54 eV/f.u.

Cell and atoms, written as POSCAR:
```
CdHgP2
1.0
5.8591 0.0000 0.0000
0.0000 5.8591 0.0000
2.9296 2.9296 5.9755
P Hg Cd
4 2 2
Direct
0.6289 0.1250 0.2500
0.1211 0.6250 0.2500
0.3750 0.3711 0.7500
0.8750 0.8789 0.7500
0.0000 0.0000 0.0000
0.7500 0.2500 0.5000
0.5000 0.5000 0.0000
0.2500 0.7500 0.5000
```

Compound: PPtSe2
Source: Alexandria
Functional: PBE
Structure: optimized geometry

Summary:
Its theoretical density is 9.116 g cm⁻³. For the uncorrected formation energy, the calculation gives 538 meV/atom. For the volume, the calculation gives 70 Å³/f.u.

Cell and atoms, written as POSCAR:
```
PPtSe2
1.0
-1.8300 -2.4227 -1.0040
1.5813 -0.0426 -2.7792
4.4746 -4.4634 2.6143
P Pt Se
1 1 2
Direct
0.5000 0.5000 0.0000
0.5000 0.5000 0.5000
0.0000 0.0000 0.7456
0.0000 0.0000 0.2544
```

Compound: CaSbAu
Source: Alexandria
Functional: PBE
Structure: optimized geometry

Summary:
Its theoretical density is 7.552 g cm⁻³. For the uncorrected formation energy, the calculation gives -723 meV/atom. For the volume, the calculation gives 79 Å³/f.u.

Cell and atoms, written as POSCAR:
```
CaSbAu
1.0
-4.3069 -1.7196 -1.3548
1.6613 -0.8742 4.4389
-3.0988 7.7065 0.0714
Sb Ca Au
2 2 2
Direct
0.1572 0.8896 0.3015
0.6572 0.8896 0.8015
0.8891 0.3536 0.4995
0.4253 0.4257 0.1034
0.0320 0.6389 0.9244
0.2825 0.1402 0.6785
```

- Among the records above, which one has the highest theoretical density?
  HfCu2Ni2